No. 1
Below is a geometry-optimized LiTcSe2N structure, with properties calculated at the PBE level. Values from VASP.

Structure (Quantum ESPRESSO input):
```
&SYSTEM
  ibrav = 0, nat = 5, ntyp = 4
/
ATOMIC_SPECIES
Li 6.94 Li.upf
Tc 98.00 Tc.upf
Se 78.96 Se.upf
N 14.01 N.upf
CELL_PARAMETERS angstrom
4.685 0.000 0.000
0.000 4.685 0.000
0.000 0.000 3.454
ATOMIC_POSITIONS crystal
Li 0.000 0.000 0.000
Tc 0.500 0.500 0.500
Se 0.000 0.500 0.000
Se 0.500 0.000 0.000
N 0.000 0.000 0.500
```

Properties
The value obtained for the relative energy among the computed polymorphs is 1115 meV per atom. The value obtained for the total energy is -22.076 eV/cell. The space group is P4/mmm, No. 123. Its density of states at the Fermi level is 3.36 states/eV/cell.

***

No. 2
Below is a geometry-optimized LiTcSeN2 structure, with properties calculated at the PBE level. Values from VASP.

Structure (Quantum ESPRESSO input):
```
&SYSTEM
  ibrav = 0, nat = 5, ntyp = 4
/
ATOMIC_SPECIES
Li 6.94 Li.upf
Tc 98.00 Tc.upf
Se 78.96 Se.upf
N 14.01 N.upf
CELL_PARAMETERS angstrom
3.669 0.000 0.000
0.000 3.669 0.000
0.000 0.000 4.402
ATOMIC_POSITIONS crystal
Li 0.000 0.000 0.000
Tc 0.500 0.500 0.500
Se 0.000 0.000 0.500
N 0.000 0.500 0.000
N 0.500 0.000 0.000
```

Properties
The value obtained for the relative energy among the computed polymorphs is 1580 meV per atom. The value obtained for the total energy is -23.659 eV/cell. The space group is P4/mmm, No. 123. Its density of states at the Fermi level is 5.04 states/eV/cell.

***

No. 3
Below is a geometry-optimized LiTcSeN2 structure, with properties calculated at the PBE level. Values from VASP.

Structure (Quantum ESPRESSO input):
```
&SYSTEM
  ibrav = 0, nat = 5, ntyp = 4
/
ATOMIC_SPECIES
Li 6.94 Li.upf
Tc 98.00 Tc.upf
Se 78.96 Se.upf
N 14.01 N.upf
CELL_PARAMETERS angstrom
3.816 0.000 0.000
0.000 3.816 0.000
0.000 0.000 5.329
ATOMIC_POSITIONS crystal
Li 0.000 0.000 0.000
Tc 0.500 0.500 0.500
Se 0.500 0.500 0.000
N 0.000 0.500 0.500
N 0.500 0.000 0.500
```

Properties
The value obtained for the relative energy among the computed polymorphs is 0 meV per atom. The value obtained for the total energy is -31.561 eV/cell. The space group is P4/mmm, No. 123. Its density of states at the Fermi level is 2.95 states/eV/cell.